Here is TeOsCl2 at its PBEsol-relaxed geometry from Alexandria via LeMat-Bulk. Energies are from meta-GGA SCAN.

abc: 2.938 5.221 5.221
angles: 112.80 90.00 90.00
Sites, in units of the cell vectors:
Os  0.500  0.000  0.000
Cl  0.000  0.000  0.500
Cl  0.000  0.500  0.000
Te  0.500  0.500  0.500

## Properties
**Formation energy from raw total energies**: 1.25 eV per atom
**Energy relative to the lowest polymorph listed for this composition**: 0.844 eV per atom
**N(E_F)**: 2.42 states/eV per cell
**Space-group type**: No. 65

Here is Cs2Nb3Cl7O5 at its PBEsol-relaxed geometry from Alexandria via LeMat-Bulk. Energies are from meta-GGA SCAN.

abc: 8.983 9.701 11.157
angles: 107.30 90.00 117.58
Sites, in units of the cell vectors:
Nb  0.785  0.996  0.026
Nb  0.464  0.000  0.250
Nb  0.790  0.004  0.474
Nb  0.215  0.004  0.974
Nb  0.210  0.996  0.526
Nb  0.536  0.000  0.750
Cl  0.711  0.294  0.826
Cl  0.635  0.699  0.961
Cl  0.365  0.301  0.039
Cl  0.939  0.294  0.116
Cl  0.094  0.000  0.750
Cl  0.061  0.706  0.884
Cl  0.583  0.294  0.326
Cl  0.064  0.699  0.461
Cl  0.645  0.706  0.384
Cl  0.936  0.301  0.539
Cl  0.906  0.000  0.250
Cl  0.355  0.294  0.616
Cl  0.417  0.706  0.674
Cl  0.289  0.706  0.174
O  0.711  0.999  0.876
O  0.396  0.000  0.875
O  0.000  0.000  0.500
O  0.396  0.000  0.625
O  0.604  0.000  0.125
O  0.289  0.001  0.124
O  0.712  0.001  0.624
O  0.604  0.000  0.375
O  0.000  0.000  0.000
O  0.288  0.999  0.376
Cs  0.155  0.400  0.853
Cs  0.755  0.600  0.647
Cs  0.845  0.600  0.147
Cs  0.245  0.400  0.353

## Properties
**Formation energy from raw total energies**: -2.21 eV per atom
**N(E_F)**: 0.00 states/eV per cell
**Space-group type**: No. 15

Here is GaPdIN2 at its PBEsol-relaxed geometry from Alexandria via LeMat-Bulk. Energies are from meta-GGA SCAN.

abc: 3.977 3.977 6.788
angles: 90.00 90.00 90.00
Sites, in units of the cell vectors:
Pd  0.000  0.000  0.000
Ga  0.500  0.500  0.500
N  0.500  0.000  0.000
N  0.000  0.500  0.000
I  0.000  0.000  0.500

## Properties
**Formation energy from raw total energies**: 1.24 eV per atom
**N(E_F)**: 0.97 states/eV per cell
**Space-group type**: No. 123

Question: Look up the N(E_F) of the first one.
Answer: 2.42 states/eV per cell

Question: formation energy from raw total energies of number 2 (Cs2Nb3Cl7O5)?
Answer: -2.21 eV per atom